[1]
This record from Alexandria via LeMat-Bulk describes a relaxed Er3Ga3Si crystal. The functional is PBE-GGA.

Results
Its raw formation energy is -0.62 eV/atom. As for the space-group type: C2/m. The density of states at the Fermi level comes out at 10.0 states/eV per cell.

a = 5.7520 Å, b = 5.7520 Å, c = 13.9974 Å
α = 106.35°, β = 106.35°, γ = 42.71°
Positions (direct):
Er (0.0078, 0.0078, 0.3760)
Er (0.1117, 0.1117, 0.9246)
Er (0.2321, 0.2321, 0.2293)
Er (0.7679, 0.7679, 0.7707)
Er (0.8883, 0.8883, 0.0754)
Er (0.9922, 0.9922, 0.6240)
Ga (0.3551, 0.3551, 0.4592)
Ga (0.3935, 0.3935, 0.9237)
Ga (0.4909, 0.4909, 0.7748)
Ga (0.5091, 0.5091, 0.2252)
Ga (0.6065, 0.6065, 0.0763)
Ga (0.6449, 0.6449, 0.5408)
Si (0.2809, 0.2809, 0.6248)
Si (0.7191, 0.7191, 0.3752)

***

[2]
This record from Alexandria via LeMat-Bulk describes a relaxed Er2GaSi crystal. The functional is PBE-GGA.

Results
Its raw formation energy is -0.48 eV/atom. As for the space-group type: R-3m. The density of states at the Fermi level comes out at 3.3 states/eV per cell.

a = 5.5652 Å, b = 5.5652 Å, c = 5.5652 Å
α = 49.46°, β = 49.46°, γ = 49.46°
Positions (direct):
Er (0.2476, 0.2476, 0.2476)
Er (0.7524, 0.7524, 0.7524)
Ga (0.0000, 0.0000, 0.0000)
Si (0.5000, 0.5000, 0.5000)

***

[3]
This record from Alexandria via LeMat-Bulk describes a relaxed TbErGaSi crystal. The functional is PBE-GGA.

Results
Its raw formation energy is -0.75 eV/atom. As for the space-group type: Amm2. The density of states at the Fermi level comes out at 3.2 states/eV per cell.

a = 3.9489 Å, b = 5.7604 Å, c = 5.7604 Å
α = 43.77°, β = 90.00°, γ = 90.00°
Positions (direct):
Tb (0.0000, 0.0000, 0.0000)
Er (0.5000, 0.2811, 0.2811)
Ga (0.5000, 0.5661, 0.5661)
Si (0.0000, 0.7181, 0.7181)

***

[4]
This record from Alexandria via LeMat-Bulk describes a relaxed Tb2Er2Ga4Si crystal. The functional is PBE-GGA.

Results
Its raw formation energy is -0.29 eV/atom. As for the space-group type: I4/mmm. The density of states at the Fermi level comes out at 5.2 states/eV per cell.

a = 6.5701 Å, b = 6.5701 Å, c = 6.5701 Å
α = 116.57°, β = 116.57°, γ = 96.04°
Positions (direct):
Tb (0.1956, 0.1956, 0.0000)
Tb (0.8044, 0.8044, 0.0000)
Er (0.2500, 0.7500, 0.5000)
Er (0.7500, 0.2500, 0.5000)
Ga (0.2512, 0.2512, 0.5024)
Ga (0.2512, 0.7488, 0.0000)
Ga (0.7488, 0.2512, 0.0000)
Ga (0.7488, 0.7488, 0.4976)
Si (0.5000, 0.5000, 0.0000)

***

> Which value of raw formation energy does entry 2 give?

-0.48 eV/atom